# 1
Crystalline CrSiAs2 at its relaxed geometry, computed with PBE.

## Properties
Formation energy (no corrections) = 0.542 eV per atom
Space-group type = F-43m
Raw total energy = -5.545 eV per atom

Geometry as extended XYZ:
```
4
Lattice="-0.498 -0.246 4.564 -3.522 -2.340 1.805 0.759 -3.974 2.185" Properties=species:S:1:pos:R:3 pbc="T T T"
As -2.446 -4.919 6.416
Cr -1.631 -3.280 4.277
As 0.000 0.000 0.000
Si -0.815 -1.640 2.139
```

# 2
Crystalline CrSi2As at its relaxed geometry, computed with PBE.

## Properties
Formation energy (no corrections) = 0.238 eV per atom
Space-group type = C2/m
Raw total energy = -6.042 eV per atom

Geometry as extended XYZ:
```
4
Lattice="-4.204 2.321 -2.541 -0.337 -4.629 2.824 -2.846 0.201 2.311" Properties=species:S:1:pos:R:3 pbc="T T T"
Si 0.000 0.000 0.000
Si -2.270 -1.154 0.141
Cr -1.591 -2.214 2.567
As -3.525 1.261 -0.115
```